# 1
The following is a PBE-GGA calculation of a geometry-optimized LaPmLuMg structure, from Alexandria.

Geometry as CIF:
```
data_LaPmLuMg
_symmetry_space_group_name_H-M 'F -4 3 m'
_symmetry_Int_Tables_number 216
_symmetry_space_group_name_Hall 'F -4 2 3'
_cell_length_a 7.9227
_cell_length_b 7.9227
_cell_length_c 7.9227
_cell_angle_alpha 90.00
_cell_angle_beta 90.00
_cell_angle_gamma 90.00
loop_
_atom_site_label
_atom_site_fract_x
_atom_site_fract_y
_atom_site_fract_z
La1 0.0000 0.0000 0.0000
Pm1 0.0000 0.0000 0.5000
Lu1 0.2500 0.2500 0.2500
Mg1 0.2500 0.2500 0.7500
```

Properties
Calculated total energy   -3.950 eV/atom
Total magnetization   0.00 μB per formula unit
Fermi-level density of states   1.125 states/eV per atom
Calculated formation energy   0.00 eV per atom

---

# 2
The following is a PBE-GGA calculation of a geometry-optimized TlSnAsF2 structure, from Alexandria.

Geometry as CIF:
```
data_TlSnAsF2
_symmetry_space_group_name_H-M 'P 4/m m m'
_symmetry_Int_Tables_number 123
_symmetry_space_group_name_Hall '-P 4 2'
_cell_length_a 4.4529
_cell_length_b 4.4529
_cell_length_c 5.6390
_cell_angle_alpha 90.00
_cell_angle_beta 90.00
_cell_angle_gamma 90.00
loop_
_atom_site_label
_atom_site_fract_x
_atom_site_fract_y
_atom_site_fract_z
Tl1 0.0000 0.0000 0.0000
Sn1 0.5000 0.5000 0.5000
As1 0.5000 0.5000 0.0000
F1 0.0000 0.5000 0.5000
```

Properties
Formation energy without anion corrections   -1.231 eV per atom
Calculated total energy   -4.183 eV/atom
Total magnetization   0.00 μB per formula unit
Fermi-level density of states   0.230 states/eV per atom

---

# 3
The following is a PBE-GGA calculation of a geometry-optimized Sr3PuN4 structure, from Alexandria.

Geometry as CIF:
```
data_Sr3PuN4
_symmetry_space_group_name_H-M 'R 3 m'
_symmetry_Int_Tables_number 160
_symmetry_space_group_name_Hall 'R 3 -2"'
_cell_length_a 8.1749
_cell_length_b 8.1749
_cell_length_c 7.0218
_cell_angle_alpha 90.00
_cell_angle_beta 90.00
_cell_angle_gamma 120.00
loop_
_atom_site_label
_atom_site_fract_x
_atom_site_fract_y
_atom_site_fract_z
Sr1 0.0437 0.5219 0.0000
Pu1 0.0000 0.0000 0.9128
N1 0.0000 0.0000 0.5761
N2 0.2097 0.4193 0.7338
```

Properties
Formation energy without anion corrections   -0.546 eV per atom
Calculated total energy   -7.131 eV/atom
Total magnetization   2.00 μB per formula unit
Fermi-level density of states   0.468 states/eV per atom

---

# 4
The following is a PBE-GGA calculation of a geometry-optimized Na2PrAs2O6 structure, from Alexandria.

Geometry as CIF:
```
data_Na2PrAs2O6
_symmetry_space_group_name_H-M 'P -3'
_symmetry_Int_Tables_number 147
_symmetry_space_group_name_Hall '-P 3'
_cell_length_a 5.9181
_cell_length_b 5.9181
_cell_length_c 5.9802
_cell_angle_alpha 90.00
_cell_angle_beta 90.00
_cell_angle_gamma 120.00
loop_
_atom_site_label
_atom_site_fract_x
_atom_site_fract_y
_atom_site_fract_z
Na1 0.3333 0.6667 0.4001
Pr1 0.0000 0.0000 0.0000
As1 0.3333 0.6667 0.8925
O1 0.0896 0.7162 0.7649
```

Properties
Formation energy without anion corrections   -1.786 eV per atom
Calculated total energy   -6.011 eV/atom
Total magnetization   1.06 μB per formula unit
Fermi-level density of states   0.400 states/eV per atom

---

What did the third record say?
The following is a PBE-GGA calculation of a geometry-optimized Sr3PuN4 structure, from Alexandria.

Geometry as CIF:
```
data_Sr3PuN4
_symmetry_space_group_name_H-M 'R 3 m'
_symmetry_Int_Tables_number 160
_symmetry_space_group_name_Hall 'R 3 -2"'
_cell_length_a 8.1749
_cell_length_b 8.1749
_cell_length_c 7.0218
_cell_angle_alpha 90.00
_cell_angle_beta 90.00
_cell_angle_gamma 120.00
loop_
_atom_site_label
_atom_site_fract_x
_atom_site_fract_y
_atom_site_fract_z
Sr1 0.0437 0.5219 0.0000
Pu1 0.0000 0.0000 0.9128
N1 0.0000 0.0000 0.5761
N2 0.2097 0.4193 0.7338
```

Properties
Formation energy without anion corrections   -0.546 eV per atom
Calculated total energy   -7.131 eV/atom
Total magnetization   2.00 μB per formula unit
Fermi-level density of states   0.468 states/eV per atom

---

- What is the formula in the fourth record?
  Na2PrAs2O6

---

- Look up the Fermi-level density of states of the second one.
  0.230 states/eV per atom

---

- Look up the total magnetization of the third one.
  2.00 μB per formula unit